Entry from Alexandria: a relaxed structure of CaIr2Br (PBE).

Output
The crystal system is tetragonal. The calculation puts the energy relative to the lowest polymorph listed for this composition at 847 meV/atom.

a b c (Å): 3.069 3.069 7.831
angles (deg): 90.00 90.00 90.00
Atoms (fractional coordinates):
Ca 0.000 0.000 0.000
Ir 0.500 0.500 0.280
Ir 0.500 0.500 0.720
Br 0.000 0.000 0.500